CdRuWO6 (PBE with a Hubbard U, optimized geometry); spin magnetization = 0.225 μB/atom; final energy = -118.63 eV per cell; density of states at the Fermi level = 0.296 states/eV/atom
1.0
4.847 0.000 0.000
0.000 4.847 0.000
0.000 0.000 9.483
Cd Ru W O
2 2 2 12
Direct
0.500 0.500 0.502 Cd
0.000 0.000 0.002 Cd
0.500 0.500 0.832 Ru
0.000 0.000 0.332 Ru
0.500 0.500 0.171 W
0.000 0.000 0.671 W
0.174 0.826 0.504 O
0.826 0.174 0.504 O
0.326 0.326 0.004 O
0.674 0.674 0.004 O
0.216 0.784 0.186 O
0.784 0.216 0.186 O
0.284 0.284 0.686 O
0.716 0.716 0.686 O
0.787 0.213 0.808 O
0.213 0.787 0.808 O
0.713 0.713 0.308 O
0.287 0.287 0.308 O